(1)
The following is a PBE calculation of an optimized crystal structure of Pm2Pr, from Alexandria.

The structure belongs to space group I4/mmm (No. 139); the cell edges are 3.672, 3.672 and 15.605 Å and the angles 90.00°, 90.00° and 90.00°. The inequivalent atoms are Pm at (0.000, 0.000, 0.168) and Pr at (0.000, 0.000, 0.500).

Its energy relative to the elements is 0.015 eV/atom. The calculation puts the density of states at the Fermi level at 9.06 states/eV/cell.



(2)
The following is a PBE calculation of an optimized crystal structure of PuMgIO6, from Alexandria.

The structure belongs to space group P-31c (No. 163); the cell edges are 5.5753, 5.5753 and 9.0349 Å and the angles 90.00°, 90.00° and 120.00°. The inequivalent atoms are Pu at (0.3333, 0.6667, 0.2500), Mg at (0.0000, 0.0000, 0.0000), I at (0.3333, 0.6667, 0.7500) and O at (0.0051, 0.3429, 0.6302).

The value obtained for the formation energy without anion corrections is -1.62 eV per atom. The calculation puts the density of states at the Fermi level at 16.92 states/eV/cell.



(3)
The following is a PBE calculation of an optimized crystal structure of Pu2HfH, from Alexandria.

The structure belongs to space group P4/mmm (No. 123); the cell edges are 3.122, 3.122 and 7.865 Å and the angles 90.00°, 90.00° and 90.00°. The inequivalent atoms are Pu at (0.000, 0.000, 0.192), Hf at (0.500, 0.500, 0.500) and H at (0.500, 0.500, 0.000).

The value obtained for the total energy is -10.364 eV per atom. The calculation puts the density of states at the Fermi level at 10.86 states/eV/cell.



(4)
The following is a PBE calculation of an optimized crystal structure of Y2ScRh, from Alexandria.

The structure belongs to space group Pmm2 (No. 25); the cell edges are 3.371, 3.447 and 8.475 Å and the angles 90.00°, 90.00° and 90.00°. The inequivalent atoms are Y at (0.000, 0.000, 0.000), Y at (0.500, 0.500, 0.327), Sc at (0.500, 0.500, 0.702) and Rh at (0.000, 0.000, 0.538).

Its energy relative to the elements is -0.414 eV/atom. The calculation puts the density of states at the Fermi level at 4.97 states/eV/cell.



(5)
The following is a PBE calculation of an optimized crystal structure of Er7Mg3Cd, from Alexandria.

The structure belongs to space group Immm (No. 71); the cell edges are 5.684, 9.974 and 11.304 Å and the angles 90.00°, 90.00° and 90.00°. The inequivalent atoms are Er at (0.000, 0.000, 0.000), Er at (0.000, 0.192, 0.500), Er at (0.000, 0.328, 0.226), Mg at (0.000, 0.000, 0.278), Mg at (0.000, 0.500, 0.000) and Cd at (0.000, 0.500, 0.500).

Its energy relative to the elements is 0.156 eV/atom. The calculation puts the density of states at the Fermi level at 27.50 states/eV/cell.



(6)
The following is a PBE calculation of an optimized crystal structure of Y2Al2W, from Alexandria.

The structure belongs to space group P4/mbm (No. 127); the cell edges are 7.123, 7.123 and 4.350 Å and the angles 90.00°, 90.00° and 90.00°. The inequivalent atoms are Y at (0.178, 0.322, 0.000), Al at (0.133, 0.633, 0.500) and W at (0.000, 0.000, 0.500).

Its energy relative to the elements is 0.034 eV/atom. The calculation puts the density of states at the Fermi level at 14.61 states/eV/cell.



(7)
The following is a PBE calculation of an optimized crystal structure of Er2TmUC4, from Alexandria.

The structure belongs to space group P2/m (No. 10); the cell edges are 6.100, 3.550 and 6.108 Å and the angles 90.00°, 110.00° and 90.00°. The inequivalent atoms are Er at (0.000, 0.000, 0.000), Er at (0.500, 0.500, 0.000), Tm at (0.000, 0.500, 0.500), U at (0.500, 0.000, 0.500), C at (0.262, 0.000, 0.736) and C at (0.275, 0.500, 0.275).

Its energy relative to the elements is -0.269 eV/atom. The calculation puts the density of states at the Fermi level at 8.05 states/eV/cell.



(8)
The following is a PBE calculation of an optimized crystal structure of RbNiTe2N, from Alexandria.

The structure belongs to space group P4/mmm (No. 123); the cell edges are 6.046, 6.046 and 3.417 Å and the angles 90.00°, 90.00° and 90.00°. The inequivalent atoms are Rb at (0.000, 0.000, 0.000), Ni at (0.500, 0.500, 0.500), Te at (0.000, 0.500, 0.500) and N at (0.500, 0.500, 0.000).

The value obtained for the formation energy without anion corrections is 0.17 eV per atom. The calculation puts the density of states at the Fermi level at 2.31 states/eV/cell.



(9)
The following is a PBE calculation of an optimized crystal structure of CrWCl2, from Alexandria.

The structure belongs to space group C2/m (No. 12); the cell edges are 14.634, 3.117 and 4.096 Å and the angles 90.00°, 92.59° and 90.00°. The inequivalent atoms are Cr at (0.000, 0.000, 0.000), W at (0.000, 0.500, 0.500) and Cl at (0.141, 0.500, 0.234).

The value obtained for the formation energy without anion corrections is 0.22 eV per atom. The calculation puts the density of states at the Fermi level at 4.58 states/eV/cell.



(10)
The following is a PBE calculation of an optimized crystal structure of K3InTc, from Alexandria.

The structure belongs to space group Pm-3m (No. 221); the cell edges are 6.321, 6.321 and 6.321 Å and the angles 90.00°, 90.00° and 90.00°. The inequivalent atoms are K at (0.000, 0.000, 0.500), In at (0.500, 0.500, 0.500) and Tc at (0.000, 0.000, 0.000).

Its energy relative to the elements is 1.186 eV/atom. The calculation puts the density of states at the Fermi level at 7.94 states/eV/cell.